#1
# SnPb2I

A relaxed SnPb2I crystal (PBE, Alexandria via LeMat-Bulk).

Results
N(E_F) in states/eV/atom: 0.54
Crystal system: tetragonal
Volume in A^3/atom: 48.5

Cell lengths 7.053, 7.053, 15.608 Å; angles 90.00, 90.00, 90.00 degrees
Space group I-42d (No. 122)
One atom of each set of equivalent atoms:
Sn 0.000 0.000 0.000
Pb 0.217 0.250 0.125
I 0.000 0.000 0.500

#2
# SnPb2I

A relaxed SnPb2I crystal (PBE, Alexandria via LeMat-Bulk).

Results
N(E_F) in states/eV/atom: 0.79
Crystal system: cubic
Volume in A^3/atom: 32.0

Cell lengths 8.000, 8.000, 8.000 Å; angles 90.00, 90.00, 90.00 degrees
Space group Fm-3m (No. 225)
One atom of each set of equivalent atoms:
Sn 0.000 0.000 0.000
Pb 0.250 0.250 0.250
I 0.000 0.000 0.500

#3
# SnPb2I

A relaxed SnPb2I crystal (PBE, Alexandria via LeMat-Bulk).

Results
N(E_F) in states/eV/atom: 0.41
Crystal system: tetragonal
Volume in A^3/atom: 32.3

Cell lengths 3.837, 3.837, 8.764 Å; angles 90.00, 90.00, 90.00 degrees
Space group P4/mmm (No. 123)
One atom of each set of equivalent atoms:
Sn 0.000 0.000 0.000
Pb 0.500 0.500 0.229
I 0.000 0.000 0.500

#4
# SnPb2I

A relaxed SnPb2I crystal (PBE, Alexandria via LeMat-Bulk).

Results
N(E_F) in states/eV/atom: 0.66
Crystal system: trigonal
Volume in A^3/atom: 36.5

Cell lengths 4.4775, 4.4775, 25.1982 Å; angles 90.00, 90.00, 120.00 degrees
Space group R3m (No. 160, hexagonal axes)
One atom of each set of equivalent atoms:
Sn 0.0000 0.0000 0.0000
Pb 0.0000 0.0000 0.4035
Pb 0.0000 0.0000 0.5996
I 0.0000 0.0000 0.8278

Pick the least stable structure from those above. Pick: #1